Entry 1:
Density functional theory data (PBE) for an optimized crystal structure of TaTcSe2.

Geometry as POSCAR:
```
TaTcSe2
1.0
4.465 0.000 0.000
0.000 4.465 0.000
0.000 0.000 3.188
Ta Tc Se
1 1 2
Direct
0.000 0.000 0.000
0.500 0.500 0.000
0.000 0.500 0.500
0.500 0.000 0.500
```

- ΔE_f (raw) (eV/atom) = -0.02
- ΔE to the lowest computed polymorph (eV per atom) = 0.3925
- magnetic moment (μB/cell) = 0.00
- total DFT energy (no corrections) (eV/atom) = -7.32

=====

Entry 2:
Density functional theory data (PBE) for an optimized crystal structure of TaTcSe2.

Geometry as POSCAR:
```
TaTcSe2
1.0
1.610 0.930 9.424
-1.610 0.930 9.424
0.000 -1.860 9.424
Ta Tc Se
1 1 2
Direct
0.000 0.000 0.000
0.745 0.745 0.745
0.270 0.270 0.270
0.469 0.469 0.469
```

- ΔE_f (raw) (eV/atom) = -0.31
- ΔE to the lowest computed polymorph (eV per atom) = 0.1055
- magnetic moment (μB/cell) = 0.00
- total DFT energy (no corrections) (eV/atom) = -7.60

=====

Entry 3:
Density functional theory data (PBE) for an optimized crystal structure of TaTcSe2.

Geometry as POSCAR:
```
TaTcSe2
1.0
-2.034 2.034 4.070
2.034 -2.034 4.070
2.034 2.034 -4.070
Ta Tc Se
1 1 2
Direct
0.000 0.000 0.000
0.250 0.750 0.500
0.500 0.500 0.000
0.750 0.250 0.500
```

- ΔE_f (raw) (eV/atom) = 0.27
- ΔE to the lowest computed polymorph (eV per atom) = 0.6845
- magnetic moment (μB/cell) = 0.00
- total DFT energy (no corrections) (eV/atom) = -7.03

=====

Entry 4:
Density functional theory data (PBE) for an optimized crystal structure of TaTcSe6.

Geometry as POSCAR:
```
TaTcSe6
1.0
6.084 0.000 0.000
2.917 5.613 0.000
2.913 1.084 5.532
Ta Tc Se
1 1 6
Direct
0.000 0.000 0.000
0.500 0.500 0.500
0.044 0.749 0.746
0.350 0.632 0.156
0.366 0.143 0.647
0.634 0.857 0.353
0.650 0.368 0.844
0.956 0.251 0.254
```

- ΔE_f (raw) (eV/atom) = -0.24
- magnetic moment (μB/cell) = 0.00
- total DFT energy (no corrections) (eV/atom) = -5.63

=====

Entry 5:
Density functional theory data (PBE) for an optimized crystal structure of TaTcSe2.

Geometry as POSCAR:
```
TaTcSe2
1.0
0.000 3.178 3.178
3.178 0.000 3.178
3.178 3.178 0.000
Ta Tc Se
1 1 2
Direct
0.000 0.000 0.000
0.500 0.500 0.500
0.250 0.250 0.250
0.750 0.750 0.750
```

- ΔE_f (raw) (eV/atom) = 0.01
- ΔE to the lowest computed polymorph (eV per atom) = 0.4223
- magnetic moment (μB/cell) = 0.00
- total DFT energy (no corrections) (eV/atom) = -7.29

=====

Entry 6:
Density functional theory data (PBE) for an optimized crystal structure of TaTcSe2.

Geometry as POSCAR:
```
TaTcSe2
1.0
2.721 -4.341 0.000
2.721 4.341 0.000
-1.888 0.000 2.984
Ta Tc Se
1 1 2
Direct
0.000 0.000 0.000
0.500 0.500 0.000
0.000 0.500 0.500
0.500 0.000 0.500
```

- ΔE_f (raw) (eV/atom) = 0.33
- ΔE to the lowest computed polymorph (eV per atom) = 0.7425
- magnetic moment (μB/cell) = 0.00
- total DFT energy (no corrections) (eV/atom) = -6.97